Entry 1:
A relaxed structure of LuBiN2O, computed with PBE.

Structure (POSCAR):
```
LuBiN2O
1.0
8.6304 0.0000 0.0000
0.0000 5.4953 0.0000
0.0000 0.0000 5.7758
Bi Lu N O
4 4 8 4
direct
0.2501 0.2497 0.4757
0.7499 0.2497 0.4757
0.2501 0.7503 0.9757
0.7499 0.7503 0.9757
0.0000 0.2805 0.0445
0.5000 0.7801 0.4077
0.0000 0.7195 0.5445
0.5000 0.2199 0.9077
0.3359 0.0576 0.1730
0.6641 0.0576 0.1730
0.1644 0.5583 0.2793
0.8356 0.5583 0.2793
0.3359 0.9424 0.6730
0.6641 0.9424 0.6730
0.1644 0.4417 0.7793
0.8356 0.4417 0.7793
0.5000 0.5929 0.0520
0.0000 0.0927 0.4001
0.5000 0.4071 0.5520
0.0000 0.9073 0.9001
```

Computed properties:
SG: Pnma
Energy, eV per atom: -6.69


Entry 2:
A relaxed structure of LuBiN2O, computed with PBE.

Structure (POSCAR):
```
LuBiN2O
1.0
-0.2895 -3.5324 -0.1344
6.6390 -0.5519 0.2047
-0.2048 -0.2141 6.0666
Bi Lu N O
2 2 4 2
direct
0.0000 0.3253 0.2270
0.0000 0.6747 0.7270
0.5000 0.8404 0.1960
0.5000 0.1596 0.6960
0.0000 0.6154 0.0911
0.5000 0.1641 0.3084
0.0000 0.3846 0.5911
0.5000 0.8359 0.8084
0.0000 0.8672 0.4280
0.0000 0.1328 0.9280
```

Computed properties:
SG: Pmc2_1
Energy, eV per atom: -6.68


Entry 3:
A relaxed structure of LuBiNO, computed with PBE.

Structure (POSCAR):
```
LuBiNO
1.0
7.2317 0.0000 0.0000
0.0000 8.0380 0.0000
0.0000 0.0000 4.8446
Bi Lu N O
4 4 4 4
direct
0.5907 0.3390 0.0466
0.0907 0.6610 0.0466
0.9093 0.3390 0.5466
0.4093 0.6610 0.5466
0.0958 0.1143 0.0506
0.5958 0.8857 0.0506
0.4042 0.1143 0.5506
0.9042 0.8857 0.5506
0.4026 0.1070 0.0507
0.9026 0.8930 0.0507
0.0973 0.1070 0.5507
0.5973 0.8930 0.5507
0.9936 0.3617 0.0546
0.4936 0.6383 0.0546
0.5064 0.3617 0.5546
0.0064 0.6383 0.5546
```

Computed properties:
SG: Pca2_1
Energy, eV per atom: -6.64
Relative energy among the computed polymorphs, eV per formula unit: 0.548